[1]
DFT (PBE) results for a relaxed Sr2CaSi crystal.

Computed properties:
space group	I4/mmm (139)
DFT total energy	-2.678	eV per atom
formation energy (no corrections)	0.1	eV/f.u.

Cell lengths 6.1075, 6.1075, 6.1075 Å; angles 129.79, 129.79, 73.75 degrees
Fractional coordinates of all 4 atoms:
1 Sr 0.2500 0.7500 0.5000
2 Sr 0.7500 0.2500 0.5000
3 Ca 0.0000 0.0000 0.0000
4 Si 0.5000 0.5000 0.0000


[2]
DFT (PBE) results for a relaxed SrCaSi crystal.

Computed properties:
space group	P4_2/mmc (131)
DFT total energy	-3.410	eV per atom
formation energy (no corrections)	-1.1	eV/f.u.

Cell lengths 5.2450, 5.2450, 7.4021 Å; angles 90.00, 90.00, 90.00 degrees
Fractional coordinates of all 6 atoms:
1 Sr 0.0000 0.0000 0.2500
2 Sr 0.0000 0.0000 0.7500
3 Ca 0.5000 0.5000 0.2500
4 Ca 0.5000 0.5000 0.7500
5 Si 0.0000 0.5000 0.0000
6 Si 0.5000 0.0000 0.5000


[3]
DFT (PBE) results for a relaxed SrCa2Si crystal.

Computed properties:
space group	P2/m (10)
DFT total energy	-2.841	eV per atom
formation energy (no corrections)	-0.3	eV/f.u.

Cell lengths 4.4371, 4.7331, 6.9564 Å; angles 90.00, 104.45, 90.00 degrees
Fractional coordinates of all 4 atoms:
1 Sr 0.0000 0.0000 0.0000
2 Ca 0.3528 0.5000 0.6984
3 Ca 0.6472 0.5000 0.3016
4 Si 0.0000 0.0000 0.5000


[4]
DFT (PBE) results for a relaxed Sr2CaSi crystal.

Computed properties:
space group	P4/mmm (123)
DFT total energy	-2.807	eV per atom
formation energy (no corrections)	-0.4	eV/f.u.

Cell lengths 3.8304, 3.8304, 10.2091 Å; angles 90.00, 90.00, 90.00 degrees
Fractional coordinates of all 4 atoms:
1 Sr 0.0000 0.0000 0.1803
2 Sr 0.0000 0.0000 0.8197
3 Ca 0.5000 0.5000 0.5000
4 Si 0.5000 0.5000 0.0000